(a)
# K2CdGa | Alexandria | PBE | optimized geometry
# Total moment: 0.0000 μB/atom
# DOS(E_F): 14.2 states/eV/cell
data_K2CdGa
_chemical_formula_sum 'K8 Cd4 Ga4'
_cell_length_a 9.6378
_cell_length_b 9.6378
_cell_length_c 6.4663
_cell_angle_alpha 90.00
_cell_angle_beta 90.00
_cell_angle_gamma 90.00
_space_group_name_H-M_alt 'I -4 2 d'
_space_group_IT_number 122
_space_group_name_Hall 'I -4 2bw'
loop_
_atom_site_label
_atom_site_type_symbol
_atom_site_fract_x
_atom_site_fract_y
_atom_site_fract_z
_atom_site_occupancy
K1 K 0.2375 0.2500 0.1250 1
Cd1 Cd 0.0000 0.0000 0.5000 1
Ga1 Ga 0.0000 0.0000 0.0000 1

(b)
# K2CdGa | Alexandria | PBE | optimized geometry
# Total moment: 0.0000 μB/atom
# DOS(E_F): 8.9 states/eV/cell
data_K2CdGa
_chemical_formula_sum 'K8 Cd4 Ga4'
_cell_length_a 10.8203
_cell_length_b 8.3162
_cell_length_c 6.4944
_cell_angle_alpha 90.00
_cell_angle_beta 90.00
_cell_angle_gamma 90.00
_space_group_name_H-M_alt 'C m c m'
_space_group_IT_number 63
_space_group_name_Hall '-C 2c 2'
loop_
_atom_site_label
_atom_site_type_symbol
_atom_site_fract_x
_atom_site_fract_y
_atom_site_fract_z
_atom_site_occupancy
K1 K 0.1745 0.1560 0.2500 1
Cd1 Cd 0.0000 0.2307 0.7500 1
Ga1 Ga 0.0000 0.5000 0.0000 1

Need the numbers? Relative energies in meV/atom: (a) 212; (b) 0.